This record from the Alexandria database describes a relaxed structure of TlCdAgBr2. The functional is GGA-PBE.

The value obtained for the energy is -10.36 eV per cell. The uncorrected formation energy comes out at -177 meV/atom. For the total magnetization, the calculation gives 0.00 Bohr magnetons per cell. The space group is P4/mmm, No. 123.

a = 5.414 Å, b = 5.414 Å, c = 5.829 Å
α = 90.00°, β = 90.00°, γ = 90.00°
Element x y z (fractional)
Tl 0.000 0.000 0.000
Cd 0.500 0.500 0.000
Ag 0.000 0.000 0.500
Br 0.000 0.500 0.500
Br 0.500 0.000 0.500